Sn2HgRu after structural relaxation, computed with PBE-GGA.

The calculation puts the formation energy at 40.0 kJ per mole of atoms. The density of states at the Fermi level is 5.419 states/eV/cell. The value obtained for the volume is 92.5 Å³/f.u.

The space group is I-42d (No. 122) and the conventional cell measures 4.5186, 4.5186 and 18.1283 Å, with angles of 90.00, 90.00 and 90.00 degrees. Symmetry generates all atoms from Sn at (0.2168, 0.2500, 0.1250), Hg at (0.0000, 0.0000, 0.5000) and Ru at (0.0000, 0.0000, 0.0000).



Sn3HgRu after structural relaxation, computed with PBE-GGA.

The calculation puts the formation energy at 129.9 kJ per mole of atoms. The density of states at the Fermi level is 4.683 states/eV/cell. The value obtained for the volume is 161.6 Å³/f.u.

The space group is Pm-3m (No. 221) and the conventional cell measures 5.4472, 5.4472 and 5.4472 Å, with angles of 90.00, 90.00 and 90.00 degrees. Symmetry generates all atoms from Sn at (0.0000, 0.0000, 0.5000), Hg at (0.0000, 0.0000, 0.0000) and Ru at (0.5000, 0.5000, 0.5000).



Sn3HgRu after structural relaxation, computed with PBE-GGA.

The calculation puts the formation energy at 8.1 kJ per mole of atoms. The density of states at the Fermi level is 4.013 states/eV/cell. The value obtained for the volume is 136.2 Å³/f.u.

The space group is Pm-3m (No. 221) and the conventional cell measures 5.1445, 5.1445 and 5.1445 Å, with angles of 90.00, 90.00 and 90.00 degrees. Symmetry generates all atoms from Sn at (0.0000, 0.0000, 0.5000), Hg at (0.5000, 0.5000, 0.5000) and Ru at (0.0000, 0.0000, 0.0000).